Fe2BO4 PBE+U optimized geometry; E_tot = -49.78 eV/cell; space group = I-42m (121); E above lowest polymorph = 96 meV/atom; size of the total moment = 9.0 μB per formula unit
1.0
-4.582 0.897 1.038
1.012 -2.350 -4.041
2.376 -3.167 2.683
Fe O B
2 4 1
Cartesian
-0.256 -2.514 1.522
-0.938 -2.106 -1.841
1.029 -1.927 -1.718
1.519 -2.221 0.698
1.077 -4.112 -0.718
-1.430 -1.878 0.062
1.694 -2.759 -0.679